Entry 1:
Dy5Co2Ag2: optimized geometry, GGA-PBE.

ΔE_f, eV/atom: -0.224

```
Dy5Co2Ag2
1.0
6.760 0.000 2.454
0.000 7.268 0.000
0.648 0.000 8.752
Dy Ag Co
10 4 4
Direct
0.443 0.183 0.751
0.306 0.683 0.751
0.694 0.317 0.249
0.000 0.000 0.000
0.943 0.317 0.751
0.500 0.500 0.000
0.806 0.817 0.751
0.057 0.683 0.249
0.557 0.817 0.249
0.194 0.183 0.249
0.720 0.500 0.560
0.220 0.000 0.560
0.280 0.500 0.440
0.780 0.000 0.440
0.891 0.612 0.000
0.609 0.112 0.000
0.109 0.388 0.000
0.391 0.888 0.000
```



Entry 2:
TbEuHgPb: optimized geometry, GGA-PBE.

ΔE_f, eV/atom: -0.497

```
TbEuHgPb
1.0
5.466 0.000 0.000
2.733 4.733 0.000
2.733 1.578 4.463
Hg Eu Pb Tb
1 1 1 1
Direct
0.750 0.750 0.750
0.000 0.000 0.000
0.250 0.250 0.250
0.500 0.500 0.500
```



Entry 3:
Pm5Dy3H12: optimized geometry, GGA-PBE.

E_tot, eV per atom: -4.3301

```
Pm5Dy3H12
1.0
-4.289 9.751 -4.471
-8.306 -5.559 5.794
8.669 2.551 7.197
H Pm Dy
48 20 12
Direct
0.930 0.087 0.658
0.587 0.658 0.430
0.843 0.930 0.272
0.929 0.587 0.157
0.413 0.342 0.570
0.913 0.070 0.842
0.070 0.157 0.228
0.657 0.429 0.587
0.913 0.843 0.571
0.429 0.772 0.842
0.158 0.728 0.571
0.930 0.843 0.772
0.728 0.158 0.071
0.429 0.657 0.087
0.570 0.728 0.657
0.071 0.413 0.843
0.772 0.429 0.342
0.657 0.228 0.570
0.658 0.071 0.228
0.342 0.929 0.772
0.413 0.071 0.343
0.843 0.913 0.071
0.158 0.430 0.087
0.228 0.657 0.070
0.071 0.658 0.728
0.157 0.087 0.929
0.571 0.228 0.158
0.587 0.929 0.657
0.842 0.570 0.913
0.772 0.343 0.930
0.272 0.842 0.929
0.087 0.930 0.158
0.430 0.158 0.587
0.842 0.272 0.429
0.571 0.343 0.913
0.430 0.272 0.343
0.157 0.070 0.728
0.342 0.413 0.070
0.070 0.913 0.342
0.929 0.342 0.272
0.272 0.430 0.843
0.087 0.157 0.429
0.570 0.842 0.413
0.343 0.772 0.430
0.228 0.571 0.658
0.728 0.570 0.157
0.343 0.571 0.413
0.658 0.587 0.930
0.250 0.375 0.625
0.250 0.875 0.125
0.750 0.125 0.875
0.875 0.625 0.750
0.000 0.000 0.000
0.625 0.875 0.250
0.750 0.625 0.375
0.500 0.500 0.000
0.500 0.500 0.500
0.625 0.750 0.875
0.000 0.500 0.000
0.500 0.000 0.000
0.125 0.375 0.250
0.875 0.250 0.625
0.375 0.125 0.750
0.000 0.500 0.500
0.375 0.250 0.125
0.000 0.000 0.500
0.500 0.000 0.500
0.125 0.750 0.375
0.250 0.125 0.375
0.875 0.125 0.250
0.875 0.750 0.125
0.125 0.875 0.750
0.750 0.375 0.125
0.125 0.250 0.875
0.375 0.625 0.250
0.625 0.250 0.375
0.625 0.375 0.750
0.250 0.625 0.875
0.750 0.875 0.625
0.375 0.750 0.625
```



Entry 4:
ZrScCl: optimized geometry, GGA-PBE.

Raw formation energy, eV per atom: -0.554

```
ZrScCl
1.0
-5.550 -0.719 -3.887
-4.097 -4.769 -2.627
3.530 2.848 5.085
Cl Sc Zr
1 1 1
Direct
0.992 0.992 0.000
0.337 0.337 0.000
0.671 0.671 0.000
```



Entry 5:
PmZrAgPd: optimized geometry, GGA-PBE.

ΔE_f, eV/atom: -0.288

```
PmZrAgPd
1.0
4.992 0.000 0.000
2.496 4.323 0.000
2.496 1.441 4.076
Ag Pd Zr Pm
1 1 1 1
Direct
0.250 0.250 0.250
0.750 0.750 0.750
0.000 0.000 0.000
0.500 0.500 0.500
```



Entry 6:
LuAgHgGe: optimized geometry, GGA-PBE.

ΔE_f, eV/atom: -0.285

```
LuAgHgGe
1.0
-0.734 -4.791 0.812
3.718 -2.833 1.520
0.039 -1.748 4.593
Ag Lu Hg Ge
1 1 1 1
Direct
0.500 0.500 0.500
0.000 0.000 0.000
0.750 0.750 0.750
0.250 0.250 0.250
```



Entry 7:
HAuSeN: optimized geometry, GGA-PBE.

E_tot, eV per atom: -3.8978

```
HAuSeN
1.0
-1.342 -0.375 -2.788
2.586 -0.621 -1.161
-0.285 -5.931 2.539
Au Se N H
1 1 1 1
Direct
0.192 0.500 0.627
0.930 0.000 0.115
0.836 0.500 0.917
0.615 0.500 0.482
```



Entry 8:
Cs12Bi: optimized geometry, GGA-PBE.

ΔE_f, eV/atom: -0.037

```
Cs12Bi
1.0
-7.805 -0.118 8.610
-5.485 1.110 -10.186
6.022 -9.939 0.094
Cs Bi
12 1
Direct
0.540 0.831 0.709
0.709 0.878 0.169
0.122 0.831 0.291
0.709 0.540 0.831
0.878 0.169 0.709
0.169 0.709 0.878
0.460 0.169 0.291
0.831 0.709 0.540
0.831 0.291 0.122
0.291 0.460 0.169
0.291 0.122 0.831
0.169 0.291 0.460
0.000 0.000 0.000
```



Entry 9:
CsVS3: optimized geometry, GGA-PBE.

Raw formation energy, eV per atom: -0.846

```
CsVS3
1.0
-8.780 -12.114 -11.816
-0.113 -7.127 -3.311
-0.280 4.117 6.689
Cs S V
2 6 2
Direct
0.650 0.963 0.037
0.350 0.037 0.963
0.657 0.190 0.810
0.892 0.098 0.902
0.981 0.336 0.664
0.343 0.810 0.190
0.019 0.664 0.336
0.108 0.902 0.098
0.108 0.058 0.942
0.892 0.942 0.058
```



Entry 10:
NaMgGa2Au2: optimized geometry, GGA-PBE.

ΔE_f, eV/atom: -0.380

```
NaMgGa2Au2
1.0
-1.975 -1.452 -3.808
1.570 -2.989 3.019
-5.972 -0.007 3.099
Ga Mg Au Na
2 1 2 1
Direct
0.667 0.333 0.269
0.333 0.667 0.731
0.000 0.000 0.500
0.333 0.667 0.297
0.667 0.333 0.703
0.000 0.000 0.000
```



Entry 11:
NaGa2Ir2: optimized geometry, GGA-PBE.

ΔE_f, eV/atom: -0.218

```
NaGa2Ir2
1.0
-2.702 -1.823 2.492
-1.425 -2.202 -3.155
1.530 -5.873 0.741
Ga Na Ir
2 1 2
Direct
0.382 0.382 0.237
0.618 0.618 0.763
0.000 0.000 0.000
0.250 0.750 0.500
0.750 0.250 0.500
```



Entry 12:
Cu3PbCl9: optimized geometry, GGA-PBE.

Raw formation energy, eV per atom: -0.538

```
Cu3PbCl9
1.0
0.124 4.043 6.651
-4.294 -5.252 7.828
8.603 -3.161 6.317
Cl Cu Pb
18 6 2
Direct
0.565 0.464 0.656
0.947 0.267 0.180
0.314 0.964 0.156
0.372 0.230 0.308
0.503 0.516 0.317
0.947 0.399 0.805
0.359 0.803 0.434
0.642 0.193 0.542
0.063 0.566 0.199
0.089 0.730 0.808
0.403 0.303 0.934
0.172 0.066 0.699
0.874 0.077 0.002
0.048 0.577 0.502
0.605 0.767 0.680
0.664 0.016 0.817
0.850 0.899 0.305
0.623 0.693 0.042
0.996 0.047 0.166
0.791 0.547 0.666
0.240 0.453 0.341
0.966 0.953 0.841
0.452 0.744 0.238
0.566 0.244 0.738
0.496 0.997 0.490
0.017 0.497 0.990
```



Entry 13:
Pm3PrDyTh: optimized geometry, GGA-PBE.

ΔE_f, eV/atom: 0.031

```
Pm3PrDyTh
1.0
-2.597 3.668 -2.486
-5.230 -5.577 -2.763
-2.477 4.691 9.508
Dy Pm Th Pr
2 6 2 2
Direct
0.250 0.128 0.628
0.750 0.872 0.372
0.750 0.372 0.545
0.750 0.385 0.205
0.250 0.615 0.795
0.250 0.628 0.455
0.250 0.135 0.956
0.750 0.865 0.044
0.750 0.379 0.878
0.250 0.621 0.122
0.250 0.122 0.292
0.750 0.878 0.708
```



Entry 14:
HfAlCdPd: optimized geometry, GGA-PBE.

ΔE_f, eV/atom: -0.332

```
HfAlCdPd
1.0
-3.793 1.938 1.908
-4.097 -2.228 -0.174
-1.839 -1.809 3.889
Al Pd Hf Cd
1 1 1 1
Direct
0.000 0.000 0.000
0.750 0.750 0.750
0.500 0.500 0.500
0.250 0.250 0.250
```



Entry 15:
LiCd3Cu: optimized geometry, GGA-PBE.

ΔE_f, eV/atom: 0.123

```
LiCd3Cu
1.0
-0.255 -0.438 -4.974
-3.574 -3.461 0.488
-3.486 3.581 -0.137
Cd Li Cu
3 1 1
Direct
0.000 0.000 0.500
0.500 0.000 0.000
0.000 0.500 0.000
0.500 0.500 0.500
0.000 0.000 0.000
```



Entry 16:
Tb2ThMg6: optimized geometry, GGA-PBE.

ΔE_f, eV/atom: -0.039

```
Tb2ThMg6
1.0
3.315 0.000 0.000
-0.001 7.885 4.535
-0.002 0.016 9.096
Tb Th Mg
2 1 6
Direct
0.000 0.667 0.667
0.000 0.333 0.333
0.000 0.000 0.000
0.501 0.000 0.335
0.501 0.335 0.000
0.500 0.335 0.665
0.500 0.665 0.335
0.499 0.000 0.665
0.499 0.665 0.000
```



Entry 17:
CeMg5Cd3: optimized geometry, GGA-PBE.

ΔE_f, eV/atom: -0.096

```
CeMg5Cd3
1.0
-2.168 1.258 5.593
3.880 -7.343 3.156
4.424 7.705 -0.019
Mg Cd Ce
10 6 2
Direct
0.750 0.341 0.000
0.500 0.667 0.333
0.250 0.000 0.659
0.500 0.333 0.667
0.750 0.659 0.659
0.000 0.333 0.667
0.250 0.659 0.000
0.250 0.341 0.341
0.000 0.667 0.333
0.750 0.000 0.341
0.750 0.335 0.335
0.250 0.000 0.335
0.750 0.000 0.665
0.250 0.665 0.665
0.750 0.665 0.000
0.250 0.335 0.000
0.000 0.000 0.000
0.500 0.000 0.000
```



Entry 18:
Ba2MgAl: optimized geometry, GGA-PBE.

ΔE_f, eV/atom: -0.045

```
Ba2MgAl
1.0
0.000 4.239 4.239
4.239 0.000 4.239
4.239 4.239 0.000
Mg Ba Al
1 2 1
Direct
0.000 0.000 0.000
0.250 0.250 0.250
0.750 0.750 0.750
0.500 0.500 0.500
```



Entry 19:
Sm2ErTm8: optimized geometry, GGA-PBE.

ΔE_f, eV/atom: 0.171

```
Sm2ErTm8
1.0
-4.386 -2.844 1.770
4.722 -1.073 8.659
0.964 4.729 8.668
Tm Er Sm
8 1 2
Direct
0.237 0.546 0.546
0.267 0.604 0.137
0.766 0.815 0.815
0.763 0.454 0.454
0.733 0.396 0.863
0.733 0.863 0.396
0.234 0.185 0.185
0.267 0.137 0.604
0.000 0.000 0.000
0.250 0.716 0.716
0.750 0.284 0.284
```



Entry 20:
Tb4PmHo6: optimized geometry, GGA-PBE.

ΔE_f, eV/atom: 0.447

```
Tb4PmHo6
1.0
-3.655 1.559 -6.545
-6.573 0.762 3.852
6.328 5.145 2.171
Ho Tb Pm
6 4 1
Direct
0.067 0.067 0.629
0.438 0.933 0.371
0.933 0.438 0.371
0.500 0.000 0.000
0.562 0.562 0.629
0.000 0.500 0.000
0.908 0.908 0.151
0.243 0.243 0.151
0.092 0.757 0.849
0.757 0.092 0.849
0.500 0.500 0.000
```



| no. | calculated density (g/cm³) |
| --- | --- |
| 1 | 9.1 |
| 2 | 10.3 |
| 3 | 6.9 |
| 4 | 4.4 |
| 5 | 8.5 |
| 6 | 11.0 |
| 7 | 8.5 |
| 8 | 2.5 |
| 9 | 3.0 |
| 10 | 8.1 |
| 11 | 10.0 |
| 12 | 3.1 |
| 13 | 7.9 |
| 14 | 9.8 |
| 15 | 5.4 |
| 16 | 4.9 |
| 17 | 4.7 |
| 18 | 3.6 |
| 19 | 8.5 |
| 20 | 7.7 |